No. 1
5
Lattice="-2.138 2.056 -2.845 -3.383 -0.318 2.312 0.937 3.545 1.858" Properties=species:S:1:pos:R:3 comment="ZrMoC3, single point on PBEsol structure, DFT SCAN" space_group=Pm-3m density_g_cm3=5.34 formation_enthalpy_0k_kj_per_mol_atoms=230 pbc="T T T"
Mo -2.292 2.641 0.662
C -1.692 -0.159 1.156
C 0.468 1.772 0.929
C -1.069 1.028 -1.423
Zr 0.000 0.000 0.000

No. 2
4
Lattice="5.447 0.024 0.015 4.243 3.415 0.015 4.243 1.506 3.065" Properties=species:S:1:pos:R:3 comment="NaCNO, single point on PBEsol structure, DFT SCAN" e_form_raw_mev_per_atom=-1043 space_group=R3m density_g_cm3=1.91 pbc="T T T"
Na 7.039 2.498 1.563
C 0.012 0.004 0.003
O 1.144 0.406 0.254
N 12.845 4.558 2.853

No. 3
28
Lattice="3.447 0.000 -0.181 0.000 5.181 0.000 -2.393 0.000 22.316" Properties=species:S:1:pos:R:3 comment="NaC2NO3, single point on PBEsol structure, DFT SCAN" e_form_raw_mev_per_atom=-1141 space_group=P2_1/c density_g_cm3=1.83 pbc="T T T"
Na -0.143 3.628 17.835
Na 1.724 1.037 15.367
Na 1.197 1.553 4.300
Na -0.670 4.144 6.768
C 1.072 3.480 12.487
C 0.508 0.890 20.715
C -0.018 1.701 9.648
C 0.545 4.291 1.420
C 0.174 3.548 14.746
C 1.407 0.957 18.457
C 0.880 1.633 7.389
C -0.353 4.224 3.678
N 0.755 2.988 13.559
N 0.826 0.398 19.643
N 0.299 2.193 8.576
N 0.228 4.784 2.492
O 1.425 3.837 11.426
O 0.155 1.247 21.777
O -0.372 1.344 10.709
O 0.899 3.934 0.358
O -0.031 2.700 15.662
O -1.835 0.109 17.722
O 1.084 2.481 6.473
O 2.889 5.072 4.413
O -0.054 4.780 14.772
O -1.813 2.189 18.611
O 1.107 0.401 7.363
O 2.866 2.992 3.524

No. 4
5
Lattice="-3.059 1.492 0.772 -1.543 -0.785 -4.594 -1.790 -4.368 1.347" Properties=species:S:1:pos:R:3 comment="Na2CSN, single point on PBEsol structure, DFT SCAN" e_form_raw_mev_per_atom=1052 space_group=P4/mmm density_g_cm3=2.05 pbc="T T T"
Na -0.895 -2.184 0.674
Na -0.771 -0.392 -2.297
S -1.530 0.746 0.386
C 0.000 0.000 0.000
N -3.196 -1.831 -1.237

No. 5
5
Lattice="-3.447 1.961 -1.330 0.244 -2.042 -3.643 -3.102 -4.053 2.064" Properties=species:S:1:pos:R:3 comment="NaCSeN2, single point on PBEsol structure, DFT SCAN" e_form_raw_mev_per_atom=2976 space_group=P4/mmm density_g_cm3=2.45 pbc="T T T"
Na 0.000 0.000 0.000
C -3.152 -2.067 -1.455
Se -1.551 -2.026 1.032
N 0.122 -1.021 -1.821
N -1.723 0.980 -0.665

No. 6
5
Lattice="-1.630 -0.090 1.894 2.239 -5.180 1.681 3.863 2.792 3.457" Properties=species:S:1:pos:R:3 comment="NaCSe2N, single point on PBEsol structure, DFT SCAN" e_form_raw_mev_per_atom=291 space_group=P4/mmm density_g_cm3=3.96 pbc="T T T"
Na 2.236 -1.239 3.517
C 0.000 0.000 0.000
Se 1.932 1.396 1.729
Se 1.119 -2.590 0.841
N -0.815 -0.045 0.947

No. 7
5
Lattice="-2.926 1.026 2.682 -0.429 -3.942 1.041 4.311 0.702 4.435" Properties=species:S:1:pos:R:3 comment="NaTeCN2, single point on PBEsol structure, DFT SCAN" e_form_raw_mev_per_atom=2910 space_group=P4/mmm density_g_cm3=3.03 pbc="T T T"
Na 0.000 0.000 0.000
C 0.478 -1.107 4.079
Te 2.156 0.351 2.217
N -0.214 -1.971 0.520
N -1.463 0.513 1.341

No. 8
5
Lattice="4.190 0.000 0.000 0.000 4.190 0.000 0.000 0.000 4.190" Properties=species:S:1:pos:R:3 comment="Nb3CN, single point on PBEsol structure, DFT SCAN" e_form_raw_mev_per_atom=974 space_group=Pm-3m density_g_cm3=6.88 pbc="T T T"
Nb 0.000 2.095 0.000
Nb 0.000 0.000 2.095
Nb 2.095 0.000 0.000
C 0.000 0.000 0.000
N 2.095 2.095 2.095